The following is a PBE calculation of HfBC3 after structural relaxation, from Alexandria.

Output
- Formation energy: 1410.6 meV per atom

```
HfBC3
1.0
3.5116 0.0000 0.0000
0.0000 3.5116 0.0000
0.0000 0.0000 3.5116
C B Hf
3 1 1
Direct
0.0000 0.5000 0.0000
0.0000 0.0000 0.5000
0.5000 0.0000 0.0000
0.0000 0.0000 0.0000
0.5000 0.5000 0.5000
```